CrCd GGA-PBEsol optimized geometry; crystal system = trigonal; ΔH_f (0 K) = 0.33 eV per atom; symmetry = P-3m1 (164)
1.0
2.864 0.000 0.000
-1.432 2.480 0.000
0.000 0.000 8.939
Cr Cd
2 2
Cartesian
0.000 1.653 3.738 Cr
1.432 0.827 5.201 Cr
0.000 1.653 7.607 Cd
1.432 0.827 1.333 Cd



Tl2CrF6 GGA-PBEsol optimized geometry; crystal system = cubic; E_tot = -5.225 eV/atom; symmetry = Fm-3m (225)
1.0
0.000 4.183 4.183
4.183 0.000 4.183
4.183 4.183 0.000
Tl Cr F
2 1 6
Cartesian
2.092 2.092 2.092 Tl
6.275 6.275 6.275 Tl
0.000 0.000 0.000 Cr
4.183 4.183 1.833 F
4.183 1.833 4.183 F
6.533 4.183 4.183 F
1.833 4.183 4.183 F
4.183 6.533 4.183 F
4.183 4.183 6.533 F



KCd2Cu GGA-PBEsol optimized geometry; crystal system = orthorhombic; ΔH_f (0 K) = 0.30 eV per atom; excess energy over the best structure of this formula in the dataset = 0.210 eV per atom; symmetry = Imm2 (44)
1.0
4.828 0.000 0.000
0.000 5.671 0.000
0.000 0.000 7.338
K Cd Cu
2 4 2
Cartesian
0.000 0.000 0.000 K
2.414 2.836 3.669 K
0.000 0.000 3.401 Cd
0.000 2.836 1.474 Cd
2.414 0.000 5.143 Cd
2.414 2.836 7.070 Cd
0.000 2.836 6.041 Cu
2.414 0.000 2.372 Cu



Y2ScAl GGA-PBEsol optimized geometry; crystal system = orthorhombic; ΔH_f (0 K) = -0.16 eV per atom; symmetry = Amm2 (38)
1.0
4.901 0.000 0.000
0.000 3.406 0.000
0.000 0.000 12.129
Y Sc Al
4 2 2
Cartesian
0.000 0.000 0.000 Y
0.000 1.703 6.065 Y
2.450 0.000 3.940 Y
2.450 1.703 10.004 Y
2.450 0.000 7.281 Sc
2.450 1.703 1.217 Sc
0.000 0.000 8.815 Al
0.000 1.703 2.751 Al



Going through the records in order, we get ρ values of 8.60 6.52 5.41 4.10 g/cm³.